Record 1
# RbLaCoTe3, optimized geometry, DFT PBE
# Uncorrected energy, eV per atom: -4.617
# SG: No. 63
# Volume, Å³ per cell: 439
data_RbLaCoTe3
_cell_length_a 8.434
_cell_length_b 8.434
_cell_length_c 12.090
_cell_angle_alpha 90.00
_cell_angle_beta 90.00
_cell_angle_gamma 149.29
_space_group_name_H-M_alt 'P 1'
_space_group_IT_number 1
loop_
_space_group_symop_operation_xyz
'x,y,z'
loop_
_atom_site_label
_atom_site_fract_x
_atom_site_fract_y
_atom_site_fract_z
Rb1 0.243 0.757 0.750
Rb2 0.757 0.243 0.250
La1 0.500 0.500 0.000
La2 0.500 0.500 0.500
Co1 0.034 0.966 0.250
Co2 0.966 0.034 0.750
Te1 0.128 0.872 0.077
Te2 0.128 0.872 0.423
Te3 0.440 0.560 0.250
Te4 0.560 0.440 0.750
Te5 0.872 0.128 0.577
Te6 0.872 0.128 0.923

Record 2
# LaTlCoS3, optimized geometry, DFT PBE
# Uncorrected energy, eV per atom: -5.501
# SG: No. 62
# Volume, Å³ per cell: 560
data_LaTlCoS3
_cell_length_a 11.294
_cell_length_b 4.110
_cell_length_c 12.059
_cell_angle_alpha 90.00
_cell_angle_beta 90.00
_cell_angle_gamma 90.00
_space_group_name_H-M_alt 'P 1'
_space_group_IT_number 1
loop_
_space_group_symop_operation_xyz
'x,y,z'
loop_
_atom_site_label
_atom_site_fract_x
_atom_site_fract_y
_atom_site_fract_z
La1 0.020 0.250 0.170
La2 0.480 0.750 0.670
La3 0.520 0.250 0.330
La4 0.980 0.750 0.830
Tl1 0.165 0.250 0.512
Tl2 0.335 0.750 0.012
Tl3 0.665 0.250 0.988
Tl4 0.835 0.750 0.488
Co1 0.247 0.250 0.798
Co2 0.253 0.750 0.298
Co3 0.747 0.250 0.702
Co4 0.753 0.750 0.202
S1 0.058 0.750 0.331
S2 0.116 0.250 0.941
S3 0.220 0.750 0.718
S4 0.280 0.250 0.218
S5 0.384 0.750 0.441
S6 0.442 0.250 0.831
S7 0.558 0.750 0.169
S8 0.616 0.250 0.559
S9 0.720 0.750 0.782
S10 0.780 0.250 0.282
S11 0.884 0.750 0.059
S12 0.942 0.250 0.669

Record 3
# La3CoSb, optimized geometry, DFT PBE
# Uncorrected energy, eV per atom: -5.744
# SG: No. 69
# Volume, Å³ per cell: 296
data_La3CoSb
_cell_length_a 7.510
_cell_length_b 7.478
_cell_length_c 7.463
_cell_angle_alpha 60.35
_cell_angle_beta 59.93
_cell_angle_gamma 59.72
_space_group_name_H-M_alt 'P 1'
_space_group_IT_number 1
loop_
_space_group_symop_operation_xyz
'x,y,z'
loop_
_atom_site_label
_atom_site_fract_x
_atom_site_fract_y
_atom_site_fract_z
La1 0.235 0.235 0.765
La2 0.254 0.746 0.746
La3 0.262 0.738 0.262
La4 0.738 0.262 0.738
La5 0.746 0.254 0.254
La6 0.765 0.765 0.235
Co1 0.000 0.000 0.000
Co2 0.500 0.500 0.500
Sb1 0.250 0.250 0.250
Sb2 0.750 0.750 0.750

Record 4
# LaCoSb3, optimized geometry, DFT PBE
# Uncorrected energy, eV per atom: -5.492
# SG: No. 57
# Volume, Å³ per cell: 983
data_LaCoSb3
_cell_length_a 13.020
_cell_length_b 6.191
_cell_length_c 12.197
_cell_angle_alpha 90.00
_cell_angle_beta 90.00
_cell_angle_gamma 90.00
_space_group_name_H-M_alt 'P 1'
_space_group_IT_number 1
loop_
_space_group_symop_operation_xyz
'x,y,z'
loop_
_atom_site_label
_atom_site_fract_x
_atom_site_fract_y
_atom_site_fract_z
La1 0.198 0.228 0.250
La2 0.198 0.272 0.750
La3 0.201 0.750 0.000
La4 0.201 0.750 0.500
La5 0.799 0.250 0.000
La6 0.799 0.250 0.500
La7 0.802 0.728 0.250
La8 0.802 0.772 0.750
Co1 0.404 0.039 0.636
Co2 0.404 0.039 0.864
Co3 0.404 0.461 0.136
Co4 0.404 0.461 0.364
Co5 0.596 0.539 0.636
Co6 0.596 0.539 0.864
Co7 0.596 0.961 0.136
Co8 0.596 0.961 0.364
Sb1 0.002 0.011 0.624
Sb2 0.002 0.011 0.876
Sb3 0.002 0.489 0.124
Sb4 0.002 0.489 0.376
Sb5 0.286 0.250 0.000
Sb6 0.286 0.250 0.500
Sb7 0.292 0.733 0.250
Sb8 0.292 0.767 0.750
Sb9 0.445 0.115 0.250
Sb10 0.445 0.385 0.750
Sb11 0.473 0.750 0.000
Sb12 0.473 0.750 0.500
Sb13 0.527 0.250 0.000
Sb14 0.527 0.250 0.500
Sb15 0.555 0.615 0.250
Sb16 0.555 0.885 0.750
Sb17 0.708 0.233 0.250
Sb18 0.708 0.267 0.750
Sb19 0.714 0.750 0.000
Sb20 0.714 0.750 0.500
Sb21 0.998 0.511 0.624
Sb22 0.998 0.511 0.876
Sb23 0.998 0.989 0.124
Sb24 0.998 0.989 0.376

Record 5
# LaCoSb2, optimized geometry, DFT PBE
# Uncorrected energy, eV per atom: -5.745
# SG: No. 129
# Volume, Å³ per cell: 195
data_LaCoSb2
_cell_length_a 4.407
_cell_length_b 4.407
_cell_length_c 10.027
_cell_angle_alpha 90.00
_cell_angle_beta 90.00
_cell_angle_gamma 90.00
_space_group_name_H-M_alt 'P 1'
_space_group_IT_number 1
loop_
_space_group_symop_operation_xyz
'x,y,z'
loop_
_atom_site_label
_atom_site_fract_x
_atom_site_fract_y
_atom_site_fract_z
La1 0.250 0.250 0.241
La2 0.750 0.750 0.759
Co1 0.250 0.750 0.000
Co2 0.750 0.250 0.000
Sb1 0.250 0.250 0.871
Sb2 0.250 0.750 0.500
Sb3 0.750 0.250 0.500
Sb4 0.750 0.750 0.129

Record 6
# LaCo2SnSb, optimized geometry, DFT PBE
# Uncorrected energy, eV per atom: -5.935
# SG: No. 129
# Volume, Å³ per cell: 200
data_LaCo2SnSb
_cell_length_a 4.421
_cell_length_b 4.421
_cell_length_c 10.222
_cell_angle_alpha 90.00
_cell_angle_beta 90.00
_cell_angle_gamma 90.00
_space_group_name_H-M_alt 'P 1'
_space_group_IT_number 1
loop_
_space_group_symop_operation_xyz
'x,y,z'
loop_
_atom_site_label
_atom_site_fract_x
_atom_site_fract_y
_atom_site_fract_z
La1 0.250 0.250 0.240
La2 0.750 0.750 0.760
Co1 0.250 0.250 0.630
Co2 0.250 0.750 0.000
Co3 0.750 0.250 0.000
Co4 0.750 0.750 0.370
Sn1 0.250 0.750 0.500
Sn2 0.750 0.250 0.500
Sb1 0.250 0.250 0.873
Sb2 0.750 0.750 0.127

Record 7
# LaTaCo2Sb2, optimized geometry, DFT PBE
# Uncorrected energy, eV per atom: -7.043
# SG: No. 31
# Volume, Å³ per cell: 247
data_LaTaCo2Sb2
_cell_length_a 4.315
_cell_length_b 9.086
_cell_length_c 6.287
_cell_angle_alpha 90.00
_cell_angle_beta 90.00
_cell_angle_gamma 90.00
_space_group_name_H-M_alt 'P 1'
_space_group_IT_number 1
loop_
_space_group_symop_operation_xyz
'x,y,z'
loop_
_atom_site_label
_atom_site_fract_x
_atom_site_fract_y
_atom_site_fract_z
La1 0.000 0.115 0.000
La2 0.500 0.885 0.500
Ta1 0.000 0.613 0.004
Ta2 0.500 0.387 0.504
Co1 0.000 0.396 0.265
Co2 0.000 0.825 0.221
Co3 0.500 0.175 0.721
Co4 0.500 0.604 0.765
Sb1 0.000 0.159 0.500
Sb2 0.000 0.617 0.511
Sb3 0.500 0.383 0.011
Sb4 0.500 0.841 0.000

Record 8
# La2Co3Si5, optimized geometry, DFT PBE
# Uncorrected energy, eV per atom: -6.529
# SG: No. 15
# Volume, Å³ per cell: 321
data_La2Co3Si5
_cell_length_a 8.075
_cell_length_b 8.075
_cell_length_c 5.651
_cell_angle_alpha 109.54
_cell_angle_beta 109.54
_cell_angle_gamma 93.19
_space_group_name_H-M_alt 'P 1'
_space_group_IT_number 1
loop_
_space_group_symop_operation_xyz
'x,y,z'
loop_
_atom_site_label
_atom_site_fract_x
_atom_site_fract_y
_atom_site_fract_z
La1 0.101 0.368 0.237
La2 0.368 0.101 0.737
La3 0.632 0.899 0.263
La4 0.899 0.632 0.763
Co1 0.036 0.763 0.375
Co2 0.237 0.964 0.125
Co3 0.495 0.505 0.250
Co4 0.505 0.495 0.750
Co5 0.763 0.036 0.875
Co6 0.964 0.237 0.625
Si1 0.009 0.991 0.750
Si2 0.245 0.449 0.844
Si3 0.267 0.733 0.750
Si4 0.281 0.719 0.250
Si5 0.449 0.245 0.344
Si6 0.551 0.755 0.656
Si7 0.719 0.281 0.750
Si8 0.733 0.267 0.250
Si9 0.755 0.551 0.156
Si10 0.991 0.009 0.250